(1)
# SiAsSe2 (PBE, optimized geometry)
data_SiAsSe2
_chemical_formula_sum 'Si2 As2 Se4'
_cell_length_a 6.4780
_cell_length_b 3.6582
_cell_length_c 7.2100
_cell_angle_alpha 90.00
_cell_angle_beta 106.26
_cell_angle_gamma 90.00
_space_group_name_H-M_alt 'P 1'
_space_group_IT_number 1
loop_
_space_group_symop_operation_xyz
'x,y,z'
loop_
_atom_site_label
_atom_site_type_symbol
_atom_site_fract_x
_atom_site_fract_y
_atom_site_fract_z
_atom_site_occupancy
Si1 Si 0.0000 0.0000 0.0000 1
Si2 Si 0.5000 0.5000 0.0000 1
As1 As 0.0000 0.5000 0.5000 1
As2 As 0.5000 0.0000 0.5000 1
Se1 Se 0.2401 0.5000 0.2278 1
Se2 Se 0.2599 0.0000 0.7722 1
Se3 Se 0.7401 0.0000 0.2278 1
Se4 Se 0.7599 0.5000 0.7722 1
# Total magnetization: 0.000 μB/f.u.
# Total energy: -4.1353 eV per atom
# Volume: 164.0 Å³/cell
# N(E_F): 1.4 states/eV/f.u.
# Formation energy without anion corrections: 0.13 eV per atom


(2)
# SiAs2Se (PBE, optimized geometry)
data_SiAs2Se
_chemical_formula_sum 'Si2 As4 Se2'
_cell_length_a 5.4207
_cell_length_b 5.4207
_cell_length_c 5.4072
_cell_angle_alpha 90.00
_cell_angle_beta 90.00
_cell_angle_gamma 90.00
_space_group_name_H-M_alt 'P 1'
_space_group_IT_number 1
loop_
_space_group_symop_operation_xyz
'x,y,z'
loop_
_atom_site_label
_atom_site_type_symbol
_atom_site_fract_x
_atom_site_fract_y
_atom_site_fract_z
_atom_site_occupancy
Si1 Si 0.0000 0.0000 0.0000 1
Si2 Si 0.5000 0.5000 0.5000 1
As1 As 0.0000 0.5000 0.0000 1
As2 As 0.0000 0.5000 0.5000 1
As3 As 0.5000 0.0000 0.0000 1
As4 As 0.5000 0.0000 0.5000 1
Se1 Se 0.0000 0.0000 0.5000 1
Se2 Se 0.5000 0.5000 0.0000 1
# Total magnetization: 0.000 μB/f.u.
# Total energy: -4.4095 eV per atom
# Volume: 158.9 Å³/cell
# N(E_F): 1.7 states/eV/f.u.
# Formation energy without anion corrections: 0.14 eV per atom


(3)
# SiAsSe2 (PBE, optimized geometry)
data_SiAsSe2
_chemical_formula_sum 'Si2 As2 Se4'
_cell_length_a 3.6656
_cell_length_b 4.0033
_cell_length_c 12.5184
_cell_angle_alpha 90.00
_cell_angle_beta 90.00
_cell_angle_gamma 90.00
_space_group_name_H-M_alt 'P 1'
_space_group_IT_number 1
loop_
_space_group_symop_operation_xyz
'x,y,z'
loop_
_atom_site_label
_atom_site_type_symbol
_atom_site_fract_x
_atom_site_fract_y
_atom_site_fract_z
_atom_site_occupancy
Si1 Si 0.0000 0.0000 0.0000 1
Si2 Si 0.5000 0.5000 0.0000 1
As1 As 0.0000 0.5000 0.8370 1
As2 As 0.5000 0.0000 0.8370 1
Se1 Se 0.0000 0.0000 0.5696 1
Se2 Se 0.0000 0.5000 0.2290 1
Se3 Se 0.5000 0.0000 0.2290 1
Se4 Se 0.5000 0.5000 0.5696 1
# Total magnetization: 0.000 μB/f.u.
# Total energy: -3.8748 eV per atom
# Volume: 183.7 Å³/cell
# N(E_F): 1.4 states/eV/f.u.
# Formation energy without anion corrections: 0.39 eV per atom


(4)
# SiAsSe2 (PBE, optimized geometry)
data_SiAsSe2
_chemical_formula_sum 'Si1 As1 Se2'
_cell_length_a 3.8637
_cell_length_b 3.8637
_cell_length_c 5.7581
_cell_angle_alpha 90.00
_cell_angle_beta 90.00
_cell_angle_gamma 90.00
_space_group_name_H-M_alt 'P 1'
_space_group_IT_number 1
loop_
_space_group_symop_operation_xyz
'x,y,z'
loop_
_atom_site_label
_atom_site_type_symbol
_atom_site_fract_x
_atom_site_fract_y
_atom_site_fract_z
_atom_site_occupancy
Si1 Si 0.0000 0.0000 0.0000 1
As1 As 0.5000 0.5000 0.4722 1
Se1 Se 0.0000 0.0000 0.4451 1
Se2 Se 0.5000 0.5000 0.9759 1
# Total magnetization: 0.000 μB/f.u.
# Total energy: -4.1457 eV per atom
# Volume: 86.0 Å³/cell
# N(E_F): 2.0 states/eV/f.u.
# Formation energy without anion corrections: 0.11 eV per atom


(5)
# SiAs2Se (PBE, optimized geometry)
data_SiAs2Se
_chemical_formula_sum 'Si3 As6 Se3'
_cell_length_a 3.7031
_cell_length_b 3.7031
_cell_length_c 24.4469
_cell_angle_alpha 90.00
_cell_angle_beta 90.00
_cell_angle_gamma 120.00
_space_group_name_H-M_alt 'P 1'
_space_group_IT_number 1
loop_
_space_group_symop_operation_xyz
'x,y,z'
loop_
_atom_site_label
_atom_site_type_symbol
_atom_site_fract_x
_atom_site_fract_y
_atom_site_fract_z
_atom_site_occupancy
Si1 Si 0.0000 0.0000 0.0000 1
Si2 Si 0.3333 0.6667 0.6667 1
Si3 Si 0.6667 0.3333 0.3333 1
As1 As 0.0000 0.0000 0.4635 1
As2 As 0.0000 0.0000 0.7414 1
As3 As 0.3333 0.6667 0.1302 1
As4 As 0.3333 0.6667 0.4081 1
As5 As 0.6667 0.3333 0.0747 1
As6 As 0.6667 0.3333 0.7969 1
Se1 Se 0.0000 0.0000 0.2801 1
Se2 Se 0.3333 0.6667 0.9468 1
Se3 Se 0.6667 0.3333 0.6134 1
# Total magnetization: 0.000 μB/f.u.
# Total energy: -4.6095 eV per atom
# Volume: 290.3 Å³/cell
# N(E_F): 0.2 states/eV/f.u.
# Formation energy without anion corrections: -0.06 eV per atom


(6)
# SiAsSe2 (PBE, optimized geometry)
data_SiAsSe2
_chemical_formula_sum 'Si2 As2 Se4'
_cell_length_a 3.6839
_cell_length_b 3.6839
_cell_length_c 14.1314
_cell_angle_alpha 90.00
_cell_angle_beta 90.00
_cell_angle_gamma 90.00
_space_group_name_H-M_alt 'P 1'
_space_group_IT_number 1
loop_
_space_group_symop_operation_xyz
'x,y,z'
loop_
_atom_site_label
_atom_site_type_symbol
_atom_site_fract_x
_atom_site_fract_y
_atom_site_fract_z
_atom_site_occupancy
Si1 Si 0.0000 0.0000 0.0000 1
Si2 Si 0.5000 0.5000 0.5000 1
As1 As 0.0000 0.5000 0.7500 1
As2 As 0.5000 0.0000 0.2500 1
Se1 Se 0.0000 0.0000 0.5000 1
Se2 Se 0.0000 0.5000 0.2500 1
Se3 Se 0.5000 0.0000 0.7500 1
Se4 Se 0.5000 0.5000 0.0000 1
# Total magnetization: 0.000 μB/f.u.
# Total energy: -3.9146 eV per atom
# Volume: 191.8 Å³/cell
# N(E_F): 1.9 states/eV/f.u.
# Formation energy without anion corrections: 0.35 eV per atom


(7)
# SiAsSe2 (PBE, optimized geometry)
data_SiAsSe2
_chemical_formula_sum 'Si2 As2 Se4'
_cell_length_a 3.3477
_cell_length_b 4.5543
_cell_length_c 12.9460
_cell_angle_alpha 90.00
_cell_angle_beta 90.00
_cell_angle_gamma 90.00
_space_group_name_H-M_alt 'P 1'
_space_group_IT_number 1
loop_
_space_group_symop_operation_xyz
'x,y,z'
loop_
_atom_site_label
_atom_site_type_symbol
_atom_site_fract_x
_atom_site_fract_y
_atom_site_fract_z
_atom_site_occupancy
Si1 Si 0.0000 0.0000 0.0000 1
Si2 Si 0.5000 0.5000 0.5000 1
As1 As 0.0000 0.5000 0.3299 1
As2 As 0.5000 0.0000 0.8299 1
Se1 Se 0.0000 0.0000 0.4221 1
Se2 Se 0.0000 0.5000 0.6281 1
Se3 Se 0.5000 0.0000 0.1281 1
Se4 Se 0.5000 0.5000 0.9221 1
# Total magnetization: 0.000 μB/f.u.
# Total energy: -4.0328 eV per atom
# Volume: 197.4 Å³/cell
# N(E_F): 1.8 states/eV/f.u.
# Formation energy without anion corrections: 0.23 eV per atom


(8)
# SiAs2Se (PBE, optimized geometry)
data_SiAs2Se
_chemical_formula_sum 'Si2 As4 Se2'
_cell_length_a 13.9449
_cell_length_b 3.6884
_cell_length_c 4.3453
_cell_angle_alpha 90.00
_cell_angle_beta 105.33
_cell_angle_gamma 90.00
_space_group_name_H-M_alt 'P 1'
_space_group_IT_number 1
loop_
_space_group_symop_operation_xyz
'x,y,z'
loop_
_atom_site_label
_atom_site_type_symbol
_atom_site_fract_x
_atom_site_fract_y
_atom_site_fract_z
_atom_site_occupancy
Si1 Si 0.0000 0.0000 0.0000 1
Si2 Si 0.5000 0.5000 0.0000 1
As1 As 0.0555 0.5000 0.4405 1
As2 As 0.4088 0.0000 0.6670 1
As3 As 0.5555 0.0000 0.4405 1
As4 As 0.9088 0.5000 0.6670 1
Se1 Se 0.1527 0.0000 0.8607 1
Se2 Se 0.6527 0.5000 0.8607 1
# Total magnetization: 0.000 μB/f.u.
# Total energy: -4.5069 eV per atom
# Volume: 215.5 Å³/cell
# N(E_F): 0.3 states/eV/f.u.
# Formation energy without anion corrections: 0.04 eV per atom


(9)
# SiAsSe2 (PBE, optimized geometry)
data_SiAsSe2
_chemical_formula_sum 'Si4 As4 Se8'
_cell_length_a 6.7199
_cell_length_b 6.7199
_cell_length_c 6.7199
_cell_angle_alpha 90.00
_cell_angle_beta 90.00
_cell_angle_gamma 90.00
_space_group_name_H-M_alt 'P 1'
_space_group_IT_number 1
loop_
_space_group_symop_operation_xyz
'x,y,z'
loop_
_atom_site_label
_atom_site_type_symbol
_atom_site_fract_x
_atom_site_fract_y
_atom_site_fract_z
_atom_site_occupancy
Si1 Si 0.0000 0.0000 0.0000 1
Si2 Si 0.0000 0.5000 0.5000 1
Si3 Si 0.5000 0.0000 0.5000 1
Si4 Si 0.5000 0.5000 0.0000 1
As1 As 0.2500 0.2500 0.7500 1
As2 As 0.2500 0.7500 0.2500 1
As3 As 0.7500 0.2500 0.2500 1
As4 As 0.7500 0.7500 0.7500 1
Se1 Se 0.0000 0.0000 0.5000 1
Se2 Se 0.0000 0.5000 0.0000 1
Se3 Se 0.2500 0.2500 0.2500 1
Se4 Se 0.2500 0.7500 0.7500 1
Se5 Se 0.5000 0.0000 0.0000 1
Se6 Se 0.5000 0.5000 0.5000 1
Se7 Se 0.7500 0.2500 0.7500 1
Se8 Se 0.7500 0.7500 0.2500 1
# Total magnetization: 0.000 μB/f.u.
# Total energy: -3.7199 eV per atom
# Volume: 303.5 Å³/cell
# N(E_F): 1.2 states/eV/f.u.
# Formation energy without anion corrections: 0.54 eV per atom


(10)
# SiAsSe2 (PBE, optimized geometry)
data_SiAsSe2
_chemical_formula_sum 'Si1 As1 Se2'
_cell_length_a 3.3691
_cell_length_b 3.3691
_cell_length_c 8.7653
_cell_angle_alpha 90.00
_cell_angle_beta 90.00
_cell_angle_gamma 90.00
_space_group_name_H-M_alt 'P 1'
_space_group_IT_number 1
loop_
_space_group_symop_operation_xyz
'x,y,z'
loop_
_atom_site_label
_atom_site_type_symbol
_atom_site_fract_x
_atom_site_fract_y
_atom_site_fract_z
_atom_site_occupancy
Si1 Si 0.0000 0.0000 0.0000 1
As1 As 0.5000 0.5000 0.3243 1
Se1 Se 0.0000 0.0000 0.4527 1
Se2 Se 0.5000 0.5000 0.8718 1
# Total magnetization: 0.000 μB/f.u.
# Total energy: -4.0256 eV per atom
# Volume: 99.5 Å³/cell
# N(E_F): 1.9 states/eV/f.u.
# Formation energy without anion corrections: 0.23 eV per atom


(11)
# SiAsSe3 (PBE, optimized geometry)
data_SiAsSe3
_chemical_formula_sum 'Si1 As1 Se3'
_cell_length_a 4.8016
_cell_length_b 4.8016
_cell_length_c 4.8016
_cell_angle_alpha 90.00
_cell_angle_beta 90.00
_cell_angle_gamma 90.00
_space_group_name_H-M_alt 'P 1'
_space_group_IT_number 1
loop_
_space_group_symop_operation_xyz
'x,y,z'
loop_
_atom_site_label
_atom_site_type_symbol
_atom_site_fract_x
_atom_site_fract_y
_atom_site_fract_z
_atom_site_occupancy
Si1 Si 0.0000 0.0000 0.0000 1
As1 As 0.5000 0.5000 0.5000 1
Se1 Se 0.0000 0.0000 0.5000 1
Se2 Se 0.0000 0.5000 0.0000 1
Se3 Se 0.5000 0.0000 0.0000 1
# Total magnetization: 0.000 μB/f.u.
# Total energy: -3.6044 eV per atom
# Volume: 110.7 Å³/cell
# N(E_F): 2.2 states/eV/f.u.
# Formation energy without anion corrections: 0.50 eV per atom


(12)
# SiAsSe2 (PBE, optimized geometry)
data_SiAsSe2
_chemical_formula_sum 'Si3 As3 Se6'
_cell_length_a 3.7168
_cell_length_b 3.7168
_cell_length_c 23.1666
_cell_angle_alpha 90.00
_cell_angle_beta 90.00
_cell_angle_gamma 120.00
_space_group_name_H-M_alt 'P 1'
_space_group_IT_number 1
loop_
_space_group_symop_operation_xyz
'x,y,z'
loop_
_atom_site_label
_atom_site_type_symbol
_atom_site_fract_x
_atom_site_fract_y
_atom_site_fract_z
_atom_site_occupancy
Si1 Si 0.0000 0.0000 0.0000 1
Si2 Si 0.3333 0.6667 0.6667 1
Si3 Si 0.6667 0.3333 0.3333 1
As1 As 0.0000 0.0000 0.7324 1
As2 As 0.3333 0.6667 0.3991 1
As3 As 0.6667 0.3333 0.0658 1
Se1 Se 0.0000 0.0000 0.2762 1
Se2 Se 0.0000 0.0000 0.4644 1
Se3 Se 0.3333 0.6667 0.1311 1
Se4 Se 0.3333 0.6667 0.9428 1
Se5 Se 0.6667 0.3333 0.6095 1
Se6 Se 0.6667 0.3333 0.7978 1
# Total magnetization: 0.000 μB/f.u.
# Total energy: -4.2207 eV per atom
# Volume: 277.2 Å³/cell
# N(E_F): 2.5 states/eV/f.u.
# Formation energy without anion corrections: 0.04 eV per atom